Below is an optimized crystal structure of CaCoICl2, with properties calculated at the PBE level.

The structure in CIF format:
```
data_CaCoICl2
_chemical_formula_sum 'Ca1 Co1 I1 Cl2'
_cell_length_a 5.023
_cell_length_b 5.023
_cell_length_c 9.826
_cell_angle_alpha 90.00
_cell_angle_beta 90.00
_cell_angle_gamma 90.00
_space_group_name_H-M_alt 'P 4/m m m'
_space_group_IT_number 123
_space_group_name_Hall '-P 4 2'
loop_
_atom_site_label
_atom_site_type_symbol
_atom_site_fract_x
_atom_site_fract_y
_atom_site_fract_z
Ca1 Ca 0.000 0.000 0.000
Co1 Co 0.000 0.000 0.500
I1 I 0.500 0.500 0.500
Cl1 Cl 0.000 0.500 0.000
```

Values from the calculation:
D(E_F) ... 1.3 states/eV/cell
E_tot ... -3.32 eV/atom
Magnetic moment ... 2.47 μB per cell